# 1
# HfHg2Au (PBE-GGA, relaxed)
# * total moment: 0.00 μB per atom
# * DFT formation energy: -0.0394 eV/atom
data_HfHg2Au
_cell_length_a 6.839
_cell_length_b 6.839
_cell_length_c 6.839
_cell_angle_alpha 90.00
_cell_angle_beta 90.00
_cell_angle_gamma 90.00
_symmetry_space_group_name_H-M 'F -4 3 m'
_symmetry_Int_Tables_number 216
_symmetry_space_group_name_Hall 'F -4 2 3'
loop_
_atom_site_label
_atom_site_fract_x
_atom_site_fract_y
_atom_site_fract_z
_atom_site_occupancy
Hf1 0.000 0.000 0.000 1
Hg1 0.000 0.000 0.500 1
Hg2 0.250 0.250 0.250 1
Au1 0.250 0.250 0.750 1

=====

# 2
# Hf2Hg3Au (PBE-GGA, relaxed)
# * total moment: 0.00 μB per atom
# * DFT formation energy: -0.0219 eV/atom
data_Hf2Hg3Au
_cell_length_a 3.455
_cell_length_b 3.455
_cell_length_c 10.229
_cell_angle_alpha 90.00
_cell_angle_beta 90.00
_cell_angle_gamma 90.00
_symmetry_space_group_name_H-M 'P 4 m m'
_symmetry_Int_Tables_number 99
loop_
_symmetry_equiv_pos_as_xyz
'x,y,z'
'-y,x,z'
'-x,-y,z'
'y,-x,z'
'-x,y,z'
'y,x,z'
'x,-y,z'
'-y,-x,z'
loop_
_atom_site_label
_atom_site_fract_x
_atom_site_fract_y
_atom_site_fract_z
_atom_site_occupancy
Hf1 0.000 0.000 0.000 1
Hf2 0.500 0.500 0.470 1
Hg1 0.000 0.000 0.307 1
Hg2 0.000 0.000 0.647 1
Hg3 0.500 0.500 0.824 1
Au1 0.500 0.500 0.149 1

=====

# 3
# HoHfAu (PBE-GGA, relaxed)
# * total moment: 0.14 μB per atom
# * DFT formation energy: 0.6359 eV/atom
data_HoHfAu
_cell_length_a 6.718
_cell_length_b 6.718
_cell_length_c 6.718
_cell_angle_alpha 90.00
_cell_angle_beta 90.00
_cell_angle_gamma 90.00
_symmetry_space_group_name_H-M 'F -4 3 m'
_symmetry_Int_Tables_number 216
_symmetry_space_group_name_Hall 'F -4 2 3'
loop_
_atom_site_label
_atom_site_fract_x
_atom_site_fract_y
_atom_site_fract_z
_atom_site_occupancy
Ho1 0.000 0.000 0.000 1
Hf1 0.250 0.250 0.250 1
Au1 0.250 0.250 0.750 1

=====

# 4
# HoHfAu6 (PBE-GGA, relaxed)
# * total moment: 0.00 μB per atom
# * DFT formation energy: -0.6032 eV/atom
data_HoHfAu6
_cell_length_a 4.920
_cell_length_b 6.118
_cell_length_c 5.033
_cell_angle_alpha 90.00
_cell_angle_beta 90.00
_cell_angle_gamma 90.00
_symmetry_space_group_name_H-M 'P m m 2'
_symmetry_Int_Tables_number 25
loop_
_symmetry_equiv_pos_as_xyz
'x,y,z'
'-x,-y,z'
'-x,y,z'
'x,-y,z'
loop_
_atom_site_label
_atom_site_fract_x
_atom_site_fract_y
_atom_site_fract_z
_atom_site_occupancy
Ho1 0.000 0.000 0.000 1
Hf1 0.500 0.500 0.314 1
Au1 0.000 0.263 0.496 1
Au2 0.000 0.500 0.006 1
Au3 0.500 0.000 0.329 1
Au4 0.500 0.256 0.821 1

=====

# 5
# Hf2InAu (PBE-GGA, relaxed)
# * total moment: 0.47 μB per atom
# * total energy: -6.37 eV/atom
data_Hf2InAu
_cell_length_a 6.962
_cell_length_b 6.962
_cell_length_c 6.962
_cell_angle_alpha 90.00
_cell_angle_beta 90.00
_cell_angle_gamma 90.00
_symmetry_space_group_name_H-M 'F -4 3 m'
_symmetry_Int_Tables_number 216
_symmetry_space_group_name_Hall 'F -4 2 3'
loop_
_atom_site_label
_atom_site_fract_x
_atom_site_fract_y
_atom_site_fract_z
_atom_site_occupancy
Hf1 0.000 0.000 0.000 1
Hf2 0.250 0.250 0.250 1
In1 0.000 0.000 0.500 1
Au1 0.250 0.250 0.750 1

=====

# 6
# Hf2InAu2 (PBE-GGA, relaxed)
# * total moment: 0.20 μB per atom
# * total energy: -5.76 eV/atom
data_Hf2InAu2
_cell_length_a 4.231
_cell_length_b 4.231
_cell_length_c 12.807
_cell_angle_alpha 90.00
_cell_angle_beta 90.00
_cell_angle_gamma 90.00
_symmetry_space_group_name_H-M 'I 4/m m m'
_symmetry_Int_Tables_number 139
_symmetry_space_group_name_Hall '-I 4 2'
loop_
_atom_site_label
_atom_site_fract_x
_atom_site_fract_y
_atom_site_fract_z
_atom_site_occupancy
Hf1 0.000 0.000 0.111 1
In1 0.000 0.000 0.500 1
Au1 0.000 0.500 0.250 1

=====

# 7
# Hf2InAu2 (PBE-GGA, relaxed)
# * total moment: 0.01 μB per atom
# * total energy: -5.91 eV/atom
data_Hf2InAu2
_cell_length_a 4.412
_cell_length_b 4.412
_cell_length_c 11.796
_cell_angle_alpha 90.00
_cell_angle_beta 90.00
_cell_angle_gamma 90.00
_symmetry_space_group_name_H-M 'I 4/m m m'
_symmetry_Int_Tables_number 139
_symmetry_space_group_name_Hall '-I 4 2'
loop_
_atom_site_label
_atom_site_fract_x
_atom_site_fract_y
_atom_site_fract_z
_atom_site_occupancy
Hf1 0.000 0.500 0.250 1
In1 0.000 0.000 0.000 1
Au1 0.000 0.000 0.390 1

=====

# 8
# HfInAu6 (PBE-GGA, relaxed)
# * total moment: 0.00 μB per atom
# * total energy: -4.31 eV/atom
data_HfInAu6
_cell_length_a 4.910
_cell_length_b 5.994
_cell_length_c 5.070
_cell_angle_alpha 90.00
_cell_angle_beta 90.00
_cell_angle_gamma 90.00
_symmetry_space_group_name_H-M 'P m m 2'
_symmetry_Int_Tables_number 25
loop_
_symmetry_equiv_pos_as_xyz
'x,y,z'
'-x,-y,z'
'-x,y,z'
'x,-y,z'
loop_
_atom_site_label
_atom_site_fract_x
_atom_site_fract_y
_atom_site_fract_z
_atom_site_occupancy
Hf1 0.000 0.000 0.000 1
In1 0.500 0.500 0.674 1
Au1 0.000 0.246 0.500 1
Au2 0.000 0.500 0.003 1
Au3 0.500 0.000 0.694 1
Au4 0.500 0.244 0.177 1